(1)
A relaxed Ce2PaAlN4 crystal, computed with PBE.

```
Ce2PaAlN4
1.0
-1.9463 -2.6019 -5.0396
-1.7028 -4.9916 -0.3326
-5.0240 0.0223 -1.6386
N Al Ce Pa
4 1 2 1
Direct
0.5283 0.0000 0.3478
0.4717 0.6522 0.0000
0.8761 0.0000 0.6522
0.1239 0.3478 0.0000
0.5000 0.0000 0.0000
0.0000 0.5000 0.5000
0.5000 0.5000 0.5000
0.0000 0.0000 0.0000
```

Properties
formation energy from raw total energies: -20.57 kcal/mol of atoms

=====

(2)
A relaxed DySi6 crystal, computed with PBE.

```
DySi6
1.0
-4.6035 2.9680 -1.7644
0.5591 -4.7522 -3.1966
-0.6674 -1.4710 5.5231
Si Dy
6 1
Direct
0.5000 0.2500 0.7500
0.7500 0.5000 0.2500
0.2500 0.7500 0.5000
0.7500 0.2500 0.5000
0.2500 0.5000 0.7500
0.5000 0.7500 0.2500
0.0000 0.0000 0.0000
```

Properties
formation energy from raw total energies: 4.61 kcal/mol of atoms

=====

(3)
A relaxed SmTm4Rh2 crystal, computed with PBE.

```
SmTm4Rh2
1.0
-4.5285 2.3312 -3.7564
-5.5219 -2.6491 5.0127
2.3232 7.1580 1.6416
Sm Rh Tm
2 4 8
Direct
0.7500 0.1612 0.0209
0.2500 0.8388 0.9791
0.2500 0.6278 0.5868
0.7500 0.3722 0.4132
0.7500 0.7304 0.0113
0.2500 0.2696 0.9887
0.4984 0.5880 0.2415
0.2500 0.9844 0.6148
0.9984 0.4120 0.7585
0.0016 0.5880 0.2415
0.2500 0.2536 0.3357
0.7500 0.7464 0.6643
0.7500 0.0156 0.3852
0.5016 0.4120 0.7585
```

Properties
ΔH_f (0 K): -0.5133 eV/atom

=====

(4)
A relaxed CsSrBr3 crystal, computed with PBE.

```
CsSrBr3
1.0
29.2340 0.0000 -3.6195
0.0000 5.8084 0.0000
-10.5237 0.0000 6.4218
Br Cs Sr
12 4 4
Direct
0.1922 0.3742 0.5405
0.4684 0.7887 0.7738
0.5316 0.2113 0.2262
0.3078 0.8742 0.9595
0.8826 0.1473 0.8443
0.9684 0.7113 0.2738
0.0316 0.2887 0.7262
0.8078 0.6258 0.4595
0.6922 0.1258 0.0405
0.3826 0.3527 0.3443
0.1174 0.8527 0.1557
0.6174 0.6473 0.6557
0.1805 0.8003 0.9545
0.6805 0.6997 0.4545
0.3195 0.3003 0.5455
0.8195 0.1997 0.0455
0.5965 0.6260 0.8582
0.9035 0.1260 0.6418
0.0965 0.8740 0.3582
0.4035 0.3740 0.1418
```

Properties
formation energy from raw total energies: -45.77 kcal/mol of atoms

=====

(5)
A relaxed TbPr4Sb5 crystal, computed with PBE.

```
TbPr4Sb5
1.0
5.7706 0.0000 2.7833
2.8853 7.1587 1.3917
-0.2246 0.0000 7.8395
Sb Pr Tb
5 4 1
Direct
0.5011 0.0000 0.0000
0.0998 0.6063 0.1961
0.9022 0.3937 0.8039
0.7061 0.1961 0.3937
0.2959 0.8039 0.6063
0.8014 0.7978 0.6015
0.4029 0.3985 0.7978
0.5992 0.6015 0.2022
0.2007 0.2022 0.3985
0.0011 0.0000 0.0000
```

Properties
formation energy from raw total energies: -27.17 kcal/mol of atoms

=====

(6)
A relaxed DyPa2As crystal, computed with PBE.

```
DyPa2As
1.0
3.4259 0.0000 0.0000
1.7130 2.9669 0.0000
1.7130 0.9890 10.4880
Pa As Dy
2 1 1
Direct
0.1010 0.1010 0.6970
0.8990 0.8990 0.3030
0.5000 0.5000 0.5000
0.0000 0.0000 0.0000
```

Properties
ΔH_f (0 K): 0.0379 eV/atom

=====

(7)
A relaxed TbYSi crystal, computed with PBE.

```
TbYSi
1.0
-4.6888 -3.2755 -0.2778
-0.2653 -0.2077 6.9256
-7.3232 10.4801 0.0339
Tb Y Si
6 6 6
Direct
0.6383 0.9387 0.6677
0.1383 0.0613 0.1677
0.4240 0.4208 0.0000
0.1383 0.0613 0.8323
0.9240 0.5792 0.5000
0.6383 0.9387 0.3323
0.9245 0.5758 0.8331
0.9245 0.5758 0.1669
0.4245 0.4242 0.3331
0.6386 0.9366 0.0000
0.1386 0.0634 0.5000
0.4245 0.4242 0.6669
0.9376 0.2971 0.3340
0.9376 0.2971 0.6660
0.9364 0.2940 0.0000
0.4376 0.7029 0.1660
0.4364 0.7060 0.5000
0.4376 0.7029 0.8340
```

Properties
formation energy from raw total energies: -9.64 kcal/mol of atoms

=====

(8)
A relaxed DyPu2Ir3 crystal, computed with PBE.

```
DyPu2Ir3
1.0
3.9775 0.0000 0.0000
0.0000 5.6204 0.0000
-1.9887 -2.8102 5.9751
Pu Ir Dy
2 3 1
Direct
0.6619 0.1619 0.3238
0.3381 0.8381 0.6762
0.0000 0.0000 0.0000
0.6804 0.6804 0.3608
0.3196 0.3196 0.6392
0.0000 0.5000 0.0000
```

Properties
ΔH_f (0 K): -0.4174 eV/atom

=====

(9)
A relaxed Mg2AuBr crystal, computed with PBE.

```
Mg2AuBr
1.0
-0.6691 -2.6290 4.3139
1.8670 -4.7229 0.4213
3.9638 -0.9084 3.0712
Mg Br Au
2 1 1
Direct
0.2500 0.2500 0.2500
0.0000 0.0000 0.0000
0.7500 0.7500 0.7500
0.5000 0.5000 0.5000
```

Properties
formation energy from raw total energies: 1.30 kcal/mol of atoms

=====

(10)
A relaxed LaGa3Au3 crystal, computed with PBE.

```
LaGa3Au3
1.0
-4.4955 -5.1471 -4.9071
3.8001 -6.2903 -4.0956
-1.0566 -6.9356 1.0305
Ga Au La
6 6 2
Direct
0.9342 0.6424 0.2080
0.0658 0.3576 0.7920
0.3576 0.7846 0.7920
0.2154 0.9342 0.2080
0.6424 0.2154 0.2080
0.7846 0.0658 0.7920
0.7666 0.4327 0.6910
0.8903 0.2334 0.3090
0.1097 0.7666 0.6910
0.4327 0.1097 0.6910
0.2334 0.5673 0.3090
0.5673 0.8903 0.3090
0.6666 0.6666 0.0002
0.3334 0.3334 0.9998
```

Properties
ΔH_f (0 K): -0.4093 eV/atom

=====

(11)
A relaxed Tl4Sn3Cl10 crystal, computed with PBE.

```
Tl4Sn3Cl10
1.0
5.5348 0.0000 -0.7516
-0.1020 5.5338 -0.7515
-0.1855 -0.1888 19.3910
Cl Sn Tl
10 3 4
Direct
0.2202 0.2202 0.4403
0.8543 0.3543 0.7085
0.0000 0.5000 0.0000
0.9272 0.9272 0.8544
0.5000 0.0000 0.0000
0.3543 0.8543 0.7085
0.7798 0.7798 0.5597
0.1457 0.6457 0.2915
0.0728 0.0728 0.1456
0.6457 0.1457 0.2915
0.0000 0.0000 0.0000
0.8512 0.8512 0.7025
0.1488 0.1488 0.2975
0.7006 0.7006 0.4013
0.2994 0.2994 0.5987
0.4325 0.4325 0.8650
0.5675 0.5675 0.1350
```

Properties
formation energy from raw total energies: -22.47 kcal/mol of atoms

=====

(12)
A relaxed AsSe2Cl crystal, computed with PBE.

```
AsSe2Cl
1.0
-2.0401 -2.2870 1.8787
2.9546 -1.6963 1.1434
0.3032 4.1792 5.4168
Cl Se As
1 2 1
Direct
0.5000 0.5000 0.7500
0.0000 0.0000 0.4368
0.0000 0.0000 0.0632
0.5000 0.5000 0.2500
```

Properties
formation energy from raw total energies: 5.21 kcal/mol of atoms

=====

(13)
A relaxed TlSn2Pd2 crystal, computed with PBE.

```
TlSn2Pd2
1.0
8.3831 0.0000 0.0000
0.0000 8.3831 0.0000
0.0000 0.0000 3.0716
Pd Tl Sn
4 2 4
Direct
0.8425 0.3425 0.5000
0.1575 0.6575 0.5000
0.3425 0.1575 0.5000
0.6575 0.8425 0.5000
0.5000 0.5000 0.0000
0.0000 0.0000 0.0000
0.3642 0.8642 0.0000
0.1358 0.3642 0.0000
0.8642 0.6358 0.0000
0.6358 0.1358 0.0000
```

Properties
ΔH_f (0 K): -0.2271 eV/atom

=====

(14)
A relaxed LaAl2BiAs crystal, computed with PBE.

```
LaAl2BiAs
1.0
-0.9852 4.7934 -1.8146
-5.6406 -0.7133 1.1781
0.7497 1.9628 4.7776
Al Bi As La
2 1 1 1
Direct
0.0000 0.0000 0.5000
0.5000 0.0000 0.0000
0.0000 0.0000 0.0000
0.0000 0.5000 0.0000
0.5000 0.5000 0.5000
```

Properties
ΔH_f (0 K): 0.5066 eV/atom

=====

(15)
A relaxed Na4Pr3SiO8 crystal, computed with PBE.

```
Na4Pr3SiO8
1.0
-2.8513 -2.9537 -5.5327
6.2874 -1.1340 -2.6349
-1.5471 -2.2894 6.3090
O Pr Si Na
8 3 1 4
Direct
0.7958 0.6884 0.9922
0.2555 0.2669 0.5110
0.2042 0.3116 0.0078
0.8036 0.3116 0.0078
0.1970 0.6890 0.3940
0.8030 0.3110 0.6060
0.7445 0.7331 0.4890
0.1964 0.6884 0.9922
0.5000 0.5000 0.5000
0.0000 0.5000 0.5000
0.5000 0.5000 0.0000
0.0000 0.5000 0.0000
0.5000 0.0000 0.0000
0.5000 0.0000 0.5000
0.0000 0.0000 0.0000
0.0000 0.0000 0.5000
```

Properties
formation energy from raw total energies: -52.66 kcal/mol of atoms

=====

(16)
A relaxed RbGeP2Pt4 crystal, computed with PBE.

```
RbGeP2Pt4
1.0
3.9918 0.0000 0.0000
0.0000 3.9918 0.0000
0.0000 0.0000 10.3722
Pt Rb Ge P
4 1 1 2
Direct
0.0000 0.5000 0.8323
0.5000 0.0000 0.1677
0.0000 0.5000 0.1677
0.5000 0.0000 0.8323
0.0000 0.0000 0.5000
0.0000 0.0000 0.0000
0.5000 0.5000 0.2925
0.5000 0.5000 0.7075
```

Properties
ΔH_f (0 K): -0.5068 eV/atom

=====

(17)
A relaxed Ac2PrIr9 crystal, computed with PBE.

```
Ac2PrIr9
1.0
5.4499 0.0000 0.0000
2.7249 4.7197 0.0000
2.7249 1.5732 9.0134
Ir Ac Pr
9 2 1
Direct
0.5757 0.5757 0.7643
0.5000 0.5000 0.5000
0.0843 0.5757 0.7643
0.4243 0.4243 0.2357
0.3314 0.3314 0.0058
0.9157 0.4243 0.2357
0.4243 0.9157 0.2357
0.5757 0.0843 0.7643
0.6686 0.6686 0.9942
0.1394 0.1394 0.5818
0.8606 0.8606 0.4182
0.0000 0.0000 0.0000
```

Properties
ΔH_f (0 K): -0.4333 eV/atom

=====

(18)
A relaxed LaPr4Nd2Y2 crystal, computed with PBE.

```
LaPr4Nd2Y2
1.0
-4.0157 -3.2837 0.5491
6.4605 -3.0816 4.0417
-3.6856 5.3453 5.0125
Nd Y Pr La
2 2 4 1
Direct
0.6678 0.3355 0.9997
0.3322 0.6645 0.0003
0.1107 0.2215 0.6649
0.8893 0.7785 0.3351
0.7776 0.5551 0.6664
0.2224 0.4449 0.3336
0.5548 0.1097 0.3336
0.4452 0.8903 0.6664
0.0000 0.0000 0.0000
```

Properties
ΔH_f (0 K): 0.0117 eV/atom

=====

(19)
A relaxed GaGeO2F crystal, computed with PBE.

```
GaGeO2F
1.0
3.7539 0.0000 0.0000
0.0000 3.7539 0.0000
0.0000 0.0000 4.2157
O Ga Ge F
2 1 1 1
Direct
0.5000 0.0000 0.0000
0.0000 0.5000 0.0000
0.5000 0.5000 0.5000
0.0000 0.0000 0.0000
0.0000 0.0000 0.5000
```

Properties
formation energy from raw total energies: -28.15 kcal/mol of atoms

=====

(20)
A relaxed Np2PaS6 crystal, computed with PBE.

```
Np2PaS6
1.0
4.9313 0.0000 0.0000
2.4657 6.7608 -0.5095
2.4657 2.2112 6.9260
Pa Np S
1 2 6
Direct
0.0000 0.5000 0.5000
0.1807 0.7463 0.8922
0.8193 0.2537 0.1078
0.2368 0.3777 0.1488
0.6225 0.3010 0.4540
0.7632 0.6223 0.8512
0.3775 0.6990 0.5460
0.9618 0.8501 0.2264
0.0382 0.1499 0.7736
```

Properties
formation energy from raw total energies: -30.62 kcal/mol of atoms

=====

Sequential E_tot output: -8.193, -5.106, -5.843, -3.495, -5.614, -7.023, -5.924, -10.392, -1.979, -3.815, -3.324, -3.141, -4.379, -3.682, -6.327, -5.578, -8.162, -5.156, -5.107, -8.010 eV per atom
Sequential V output: 113.6, 146.7, 355.8, 869.2, 328.3, 106.6, 507.6, 133.6, 93.6, 316.7, 592.3, 88.5, 215.9, 158.2, 232.1, 165.3, 231.8, 316.8, 59.4, 236.5 Å³/cell